Compound: Pm3TlHg4
Source: the Alexandria database
Functional: PBE
Structure: relaxed

Unit cell a=5.2828 b=5.2828 c=9.4947 alpha=73.85 beta=73.85 gamma=60.00
Positions (direct):
1 Hg 0.1320 0.1320 0.6041
2 Hg 0.6193 0.6193 0.1421
3 Hg 0.3807 0.3807 0.8579
4 Hg 0.8680 0.8680 0.3959
5 Pm 0.2591 0.2591 0.2228
6 Pm 0.7409 0.7409 0.7772
7 Pm 0.5000 0.5000 0.5000
8 Tl 0.0000 0.0000 0.0000

Results
energy of formation from the pure elements	-40	kJ per mole of atoms